[1]
# PBE-GGA Cs7KHg4, optimized geometry
data_Cs7KHg4
_cell_length_a 18.4969
_cell_length_b 7.5874
_cell_length_c 13.8444
_cell_angle_alpha 90.00
_cell_angle_beta 125.83
_cell_angle_gamma 90.00
_symmetry_space_group_name_H-M 'C 1 2/m 1'
_symmetry_Int_Tables_number 12
_symmetry_space_group_name_Hall '-C 2y'
loop_
_atom_site_label
_atom_site_type_symbol
_atom_site_fract_x
_atom_site_fract_y
_atom_site_fract_z
Cs1 Cs 0.0000 0.0000 0.0000
Cs2 Cs 0.0855 0.5000 0.3835
Cs3 Cs 0.1736 0.0000 0.6293
Cs4 Cs 0.2147 0.5000 0.8830
K1 K 0.0000 0.5000 0.0000
Hg1 Hg 0.0330 0.0000 0.7562
Hg2 Hg 0.1681 0.0000 0.3305
# Theoretical density in Mg/m³: 3.74
# Volume in Å³/atom: 65.6
# Total DFT energy (no corrections) in eV for the cell shown: -19.1
# Energy of formation in eV/atom: -0.107
# Fermi-level density of states in states/eV per atom: 0.7130

***

[2]
# PBE-GGA Cs3K2Hg3, optimized geometry
data_Cs3K2Hg3
_cell_length_a 5.6142
_cell_length_b 16.1509
_cell_length_c 19.1522
_cell_angle_alpha 90.00
_cell_angle_beta 90.00
_cell_angle_gamma 90.00
_symmetry_space_group_name_H-M 'C m c m'
_symmetry_Int_Tables_number 63
_symmetry_space_group_name_Hall '-C 2c 2'
loop_
_atom_site_label
_atom_site_type_symbol
_atom_site_fract_x
_atom_site_fract_y
_atom_site_fract_z
Cs1 Cs 0.0000 0.0584 0.1199
Cs2 Cs 0.0000 0.3540 0.2500
K1 K 0.0000 0.2254 0.5799
Hg1 Hg 0.0000 0.3366 0.7500
Hg2 Hg 0.0000 0.4110 0.0314
# Theoretical density in Mg/m³: 4.13
# Volume in Å³/atom: 54.3
# Total DFT energy (no corrections) in eV for the cell shown: -28.5
# Energy of formation in eV/atom: -0.182
# Fermi-level density of states in states/eV per atom: 0.6515

***

[3]
# PBE-GGA CsK4Hg, optimized geometry
data_CsK4Hg
_cell_length_a 12.1364
_cell_length_b 12.1364
_cell_length_c 12.1364
_cell_angle_alpha 90.00
_cell_angle_beta 90.00
_cell_angle_gamma 90.00
_symmetry_space_group_name_H-M 'F -4 3 m'
_symmetry_Int_Tables_number 216
_symmetry_space_group_name_Hall 'F -4 2 3'
loop_
_atom_site_label
_atom_site_type_symbol
_atom_site_fract_x
_atom_site_fract_y
_atom_site_fract_z
Cs1 Cs 0.0000 0.0000 0.0000
K1 K 0.1243 0.1243 0.3757
Hg1 Hg 0.2500 0.2500 0.7500
# Theoretical density in Mg/m³: 1.82
# Volume in Å³/atom: 74.5
# Total DFT energy (no corrections) in eV for the cell shown: -20.8
# Distance to the lowest polymorph of the same formula in meV per atom: 142
# Energy of formation in eV/atom: 0.056
# Fermi-level density of states in states/eV per atom: 0.8436

***

[4]
# PBE-GGA Cs5KHg4, optimized geometry
data_Cs5KHg4
_cell_length_a 24.4689
_cell_length_b 5.3877
_cell_length_c 10.0320
_cell_angle_alpha 90.00
_cell_angle_beta 111.71
_cell_angle_gamma 90.00
_symmetry_space_group_name_H-M 'C 1 2/m 1'
_symmetry_Int_Tables_number 12
_symmetry_space_group_name_Hall '-C 2y'
loop_
_atom_site_label
_atom_site_type_symbol
_atom_site_fract_x
_atom_site_fract_y
_atom_site_fract_z
Cs1 Cs 0.0000 0.0000 0.0000
Cs2 Cs 0.1455 0.5000 0.5262
Cs3 Cs 0.1954 0.5000 0.1029
K1 K 0.0000 0.0000 0.5000
Hg1 Hg 0.0507 0.5000 0.7609
Hg2 Hg 0.1271 0.0000 0.8103
# Theoretical density in Mg/m³: 4.07
# Volume in Å³/atom: 61.4
# Total DFT energy (no corrections) in eV for the cell shown: -17.0
# Energy of formation in eV/atom: -0.193
# Fermi-level density of states in states/eV per atom: 0.6038

***

[5]
# PBE-GGA Cs3K8Hg, optimized geometry
data_Cs3K8Hg
_cell_length_a 14.7909
_cell_length_b 14.7909
_cell_length_c 9.5930
_cell_angle_alpha 90.00
_cell_angle_beta 90.00
_cell_angle_gamma 120.00
_symmetry_space_group_name_H-M 'P 63 m c'
_symmetry_Int_Tables_number 186
_symmetry_space_group_name_Hall 'P 6c -2c'
loop_
_atom_site_label
_atom_site_type_symbol
_atom_site_fract_x
_atom_site_fract_y
_atom_site_fract_z
Cs1 Cs 0.1579 0.3158 0.0000
K1 K 0.0000 0.0000 0.2472
K2 K 0.0372 0.5186 0.7770
K3 K 0.2240 0.4480 0.4946
K4 K 0.3333 0.6667 0.1127
Hg1 Hg 0.3333 0.6667 0.7418
# Theoretical density in Mg/m³: 1.67
# Volume in Å³/atom: 75.7
# Total DFT energy (no corrections) in eV for the cell shown: -24.0
# Energy of formation in eV/atom: -0.029
# Fermi-level density of states in states/eV per atom: 0.7291

***

[6]
# PBE-GGA Cs7K3Hg, optimized geometry
data_Cs7K3Hg
_cell_length_a 16.2222
_cell_length_b 12.4246
_cell_length_c 11.5602
_cell_angle_alpha 90.00
_cell_angle_beta 116.29
_cell_angle_gamma 90.00
_symmetry_space_group_name_H-M 'C 1 m 1'
_symmetry_Int_Tables_number 8
_symmetry_space_group_name_Hall 'C -2y'
loop_
_atom_site_label
_atom_site_type_symbol
_atom_site_fract_x
_atom_site_fract_y
_atom_site_fract_z
Cs1 Cs 0.0000 0.0000 0.0000
Cs2 Cs 0.0057 0.1882 0.5892
Cs3 Cs 0.2351 0.3011 0.0184
Cs4 Cs 0.3807 0.0000 0.7812
Cs5 Cs 0.4315 0.0000 0.2413
K1 K 0.1889 0.1888 0.3770
K2 K 0.2245 0.5000 0.6143
Hg1 Hg 0.1858 0.0000 0.8854
# Theoretical density in Mg/m³: 1.98
# Volume in Å³/atom: 95.0
# Total DFT energy (no corrections) in eV for the cell shown: -19.3
# Energy of formation in eV/atom: -0.005
# Fermi-level density of states in states/eV per atom: 0.8915

***

[7]
# PBE-GGA CsKHg, optimized geometry
data_CsKHg
_cell_length_a 8.9544
_cell_length_b 8.9544
_cell_length_c 8.9544
_cell_angle_alpha 90.00
_cell_angle_beta 90.00
_cell_angle_gamma 90.00
_symmetry_space_group_name_H-M 'F -4 3 m'
_symmetry_Int_Tables_number 216
_symmetry_space_group_name_Hall 'F -4 2 3'
loop_
_atom_site_label
_atom_site_type_symbol
_atom_site_fract_x
_atom_site_fract_y
_atom_site_fract_z
Cs1 Cs 0.0000 0.0000 0.0000
K1 K 0.0000 0.0000 0.5000
Hg1 Hg 0.2500 0.2500 0.2500
# Theoretical density in Mg/m³: 3.45
# Volume in Å³/atom: 59.8
# Total DFT energy (no corrections) in eV for the cell shown: -10.6
# Distance to the lowest polymorph of the same formula in meV per atom: 32
# Energy of formation in eV/atom: -0.136
# Fermi-level density of states in states/eV per atom: 0.2264

***

[8]
# PBE-GGA CsK3Hg, optimized geometry
data_CsK3Hg
_cell_length_a 22.8080
_cell_length_b 12.9962
_cell_length_c 8.6890
_cell_angle_alpha 90.00
_cell_angle_beta 100.47
_cell_angle_gamma 90.00
_symmetry_space_group_name_H-M 'C 1 2/c 1'
_symmetry_Int_Tables_number 15
_symmetry_space_group_name_Hall '-C 2yc'
loop_
_atom_site_label
_atom_site_type_symbol
_atom_site_fract_x
_atom_site_fract_y
_atom_site_fract_z
Cs1 Cs 0.0000 0.0677 0.2500
Cs2 Cs 0.0000 0.3646 0.7500
K1 K 0.1701 0.1727 0.0855
K2 K 0.1700 0.5000 0.0922
K3 K 0.1714 0.1709 0.5842
Hg1 Hg 0.0689 0.3417 0.2955
# Theoretical density in Mg/m³: 2.36
# Volume in Å³/atom: 63.3
# Total DFT energy (no corrections) in eV for the cell shown: -38.8
# Distance to the lowest polymorph of the same formula in meV per atom: 15
# Energy of formation in eV/atom: -0.080
# Fermi-level density of states in states/eV per atom: 0.7756

***

[9]
# PBE-GGA CsK9Hg2, optimized geometry
data_CsK9Hg2
_cell_length_a 16.6198
_cell_length_b 16.6198
_cell_length_c 10.7639
_cell_angle_alpha 90.00
_cell_angle_beta 90.00
_cell_angle_gamma 90.00
_symmetry_space_group_name_H-M 'I 41/a m d'
_symmetry_Int_Tables_number 141
loop_
_symmetry_equiv_pos_as_xyz
'x,y,z'
'-x,-y,-z'
'-y+1/4,x+3/4,z+1/4'
'y+1/4,-x+3/4,-z+1/4'
'-x+1/2,-y,z+1/2'
'x+1/2,y,-z+1/2'
'y+1/4,-x+1/4,z+3/4'
'-y+1/4,x+1/4,-z+3/4'
'x,-y,-z'
'-x,y,z'
'-y+1/4,-x+1/4,-z+3/4'
'y+1/4,x+1/4,z+3/4'
'-x+1/2,y,-z+1/2'
'x+1/2,-y,z+1/2'
'y+1/4,x+3/4,-z+1/4'
'-y+1/4,-x+3/4,z+1/4'
'x+1/2,y+1/2,z+1/2'
'-x+1/2,-y+1/2,-z+1/2'
'-y+3/4,x+1/4,z+3/4'
'y+3/4,-x+1/4,-z+3/4'
'-x,-y+1/2,z'
'x,y+1/2,-z'
'y+3/4,-x+3/4,z+1/4'
'-y+3/4,x+3/4,-z+1/4'
'x+1/2,-y+1/2,-z+1/2'
'-x+1/2,y+1/2,z+1/2'
'-y+3/4,-x+3/4,-z+1/4'
'y+3/4,x+3/4,z+1/4'
'-x,y+1/2,-z'
'x,-y+1/2,z'
'y+3/4,x+1/4,-z+3/4'
'-y+3/4,-x+1/4,z+3/4'
loop_
_atom_site_label
_atom_site_type_symbol
_atom_site_fract_x
_atom_site_fract_y
_atom_site_fract_z
Cs1 Cs 0.0000 0.2500 0.3750
K1 K 0.0000 0.2500 0.8750
K2 K 0.1235 0.0630 0.6869
Hg1 Hg 0.0000 0.0000 0.0000
# Theoretical density in Mg/m³: 1.98
# Volume in Å³/atom: 61.9
# Total DFT energy (no corrections) in eV for the cell shown: -47.8
# Energy of formation in eV/atom: -0.051
# Fermi-level density of states in states/eV per atom: 0.7319

***

[10]
# PBE-GGA Cs2KHg, optimized geometry
data_Cs2KHg
_cell_length_a 6.9194
_cell_length_b 6.9194
_cell_length_c 5.6706
_cell_angle_alpha 90.00
_cell_angle_beta 90.00
_cell_angle_gamma 90.00
_symmetry_space_group_name_H-M 'P 4/m m m'
_symmetry_Int_Tables_number 123
_symmetry_space_group_name_Hall '-P 4 2'
loop_
_atom_site_label
_atom_site_type_symbol
_atom_site_fract_x
_atom_site_fract_y
_atom_site_fract_z
Cs1 Cs 0.0000 0.5000 0.0000
K1 K 0.0000 0.0000 0.5000
Hg1 Hg 0.5000 0.5000 0.5000
# Theoretical density in Mg/m³: 3.09
# Volume in Å³/atom: 67.9
# Total DFT energy (no corrections) in eV for the cell shown: -3.3
# Distance to the lowest polymorph of the same formula in meV per atom: 65
# Energy of formation in eV/atom: -0.048
# Fermi-level density of states in states/eV per atom: 0.8897